The following is a DFT calculation (PBE+U) of KWF5 after structural relaxation.

```
KWF5
1.0
4.9838 -3.7313 0.0000
4.9838 3.7313 0.0000
-3.2632 0.0000 7.5889
K W F
2 2 10
direct
0.0289 0.9711 0.7500
0.9711 0.0289 0.2500
0.5000 0.5000 0.0000
0.5000 0.5000 0.5000
0.2278 0.7567 0.0271
0.2433 0.7722 0.4729
0.2739 0.2953 0.3959
0.2953 0.2739 0.8959
0.4410 0.5590 0.7500
0.5590 0.4410 0.2500
0.7047 0.7261 0.1041
0.7261 0.7047 0.6041
0.7567 0.2278 0.5271
0.7722 0.2433 0.9729
```

## Properties
Final energy   -5.36 eV per atom
Size of the total moment   4.0 μB per cell